Entry 1:
The following is a DFT calculation (PBEsol) of an optimized crystal structure of CdTc2GeMo.

a = 4.506 Å, b = 4.506 Å, c = 4.564 Å
α = 90.00°, β = 90.00°, γ = 90.00°
Sites, in units of the cell vectors:
Mo  0.000  0.000  0.500
Cd  0.500  0.500  0.500
Ge  0.000  0.000  0.000
Tc  0.000  0.500  0.000
Tc  0.500  0.000  0.000

Formation enthalpy at 0 K (eV/atom): 1.302
Space-group type: P4/mmm

=====

Entry 2:
The following is a DFT calculation (PBEsol) of an optimized crystal structure of ZnMoRh2.

a = 3.869 Å, b = 3.869 Å, c = 4.575 Å
α = 115.01°, β = 115.01°, γ = 90.00°
Sites, in units of the cell vectors:
Rh  0.750  0.250  0.500
Mo  0.500  0.500  0.000
Rh  0.250  0.750  0.500
Zn  0.000  0.000  0.000

Formation enthalpy at 0 K (eV/atom): -0.221
Space-group type: I4/mmm

=====

Entry 3:
The following is a DFT calculation (PBEsol) of an optimized crystal structure of NaLi2NbC.

a = 5.354 Å, b = 5.354 Å, c = 6.064 Å
α = 90.00°, β = 90.00°, γ = 90.00°
Each line ends with the local moment (μB).
Sites, in units of the cell vectors:
C  0.500  0.500  0.500  1.06
Li  0.000  0.500  0.000  0.05
Nb  0.000  0.000  0.000  3.35
Na  0.000  0.000  0.500  0.05
Li  0.500  0.000  0.000  0.05

Formation enthalpy at 0 K (eV/atom): 2.619
Space-group type: P4/mmm

=====

Entry 4:
The following is a DFT calculation (PBEsol) of an optimized crystal structure of YTeS2.

a = 3.902 Å, b = 3.902 Å, c = 8.498 Å
α = 76.73°, β = 76.73°, γ = 60.00°
Sites, in units of the cell vectors:
S  0.893  0.893  0.320
S  0.107  0.107  0.680
Y  0.500  0.500  0.500
Te  0.000  0.000  0.000

Energy relative to the elements, uncorrected (eV per atom): -1.156
Space-group type: R-3m

=====

Entry 5:
The following is a DFT calculation (PBEsol) of an optimized crystal structure of Al3SiPd4.

a = 4.829 Å, b = 4.829 Å, c = 4.829 Å
α = 90.66°, β = 90.66°, γ = 90.66°
Sites, in units of the cell vectors:
Pd  0.143  0.143  0.143
Pd  0.656  0.851  0.357
Pd  0.357  0.656  0.851
Al  0.342  0.158  0.649
Si  0.844  0.844  0.844
Al  0.649  0.342  0.158
Pd  0.851  0.357  0.656
Al  0.158  0.649  0.342

Energy relative to the elements, uncorrected (eV per atom): -0.865
Space-group type: R3

=====

Entry 6:
The following is a DFT calculation (PBEsol) of an optimized crystal structure of CoH2Au2.

a = 2.926 Å, b = 2.926 Å, c = 6.498 Å
α = 103.01°, β = 103.01°, γ = 90.00°
Each line ends with the local moment (μB).
Sites, in units of the cell vectors:
H  0.250  0.750  0.500  0.00
H  0.750  0.250  0.500  0.00
Au  0.363  0.363  0.726  0.03
Au  0.637  0.637  0.274  0.03
Co  0.000  0.000  0.000  1.73

Space-group type: I4/mmm
VASP energy (eV per cell): -19.831

=====

Entry 7:
The following is a DFT calculation (PBEsol) of an optimized crystal structure of Sr2HgPt.

a = 3.807 Å, b = 5.261 Å, c = 5.261 Å
α = 90.00°, β = 90.00°, γ = 90.00°
Sites, in units of the cell vectors:
Pt  0.500  0.500  0.500
Sr  0.000  0.000  0.500
Sr  0.000  0.500  0.000
Hg  0.500  0.000  0.000

Formation enthalpy at 0 K (eV/atom): -0.564
Space-group type: P4/mmm

=====

Entry 8:
The following is a DFT calculation (PBEsol) of an optimized crystal structure of FePtN2F.

a = 3.659 Å, b = 3.670 Å, c = 3.670 Å
α = 90.00°, β = 90.00°, γ = 90.00°
Sites, in units of the cell vectors:
F  0.500  0.000  0.000
Pt  0.500  0.500  0.500
Fe  0.000  0.000  0.000
N  0.000  0.500  0.000
N  0.000  0.000  0.500

Energy relative to the elements, uncorrected (eV per atom): 0.647
Space-group type: P4/mmm
Energy relative to the lowest polymorph listed for this composition (eV per atom): 0.0000

=====

no.,density (g/cm3)
1,8.5
2,11.1
3,1.4
4,4.3
5,7.9
6,14.3
7,9.0
8,10.0